VASP calculation (PBE) on a relaxed structure of Ta2PdAu. Values from VASP.

```
&SYSTEM
  ibrav = 0, nat = 16, ntyp = 3
/
ATOMIC_SPECIES
Ta 180.95 Ta.upf
Pd 106.42 Pd.upf
Au 196.97 Au.upf
CELL_PARAMETERS angstrom
6.510 0.000 0.000
0.000 6.510 0.000
0.000 0.000 6.510
ATOMIC_POSITIONS angstrom
Ta 0.000 0.000 0.000
Ta 0.000 3.255 3.255
Ta 1.627 1.627 1.627
Ta 1.627 4.882 4.882
Ta 3.255 0.000 3.255
Ta 3.255 3.255 0.000
Ta 4.882 1.627 4.882
Ta 4.882 4.882 1.627
Pd 0.000 0.000 3.255
Pd 0.000 3.255 0.000
Pd 3.255 0.000 0.000
Pd 3.255 3.255 3.255
Au 1.627 1.627 4.882
Au 1.627 4.882 1.627
Au 4.882 1.627 1.627
Au 4.882 4.882 4.882
```

symmetry	F-43m, No. 216
formation energy	0.106	eV per atom
spin magnetization	1.8	μB per formula unit



VASP calculation (PBE) on a relaxed structure of Tb2Pd5Au. Values from VASP.

```
&SYSTEM
  ibrav = 0, nat = 16, ntyp = 3
/
ATOMIC_SPECIES
Tb 158.93 Tb.upf
Pd 106.42 Pd.upf
Au 196.97 Au.upf
CELL_PARAMETERS angstrom
5.926 0.000 0.000
0.000 5.926 0.000
0.000 0.000 8.104
ATOMIC_POSITIONS angstrom
Tb 0.000 2.963 0.000
Tb 0.000 2.963 4.052
Tb 2.963 0.000 0.000
Tb 2.963 0.000 4.052
Pd 0.000 0.000 0.000
Pd 1.482 1.482 2.026
Pd 1.482 1.482 6.078
Pd 1.482 4.445 2.026
Pd 1.482 4.445 6.078
Pd 2.963 2.963 4.052
Pd 4.445 1.482 2.026
Pd 4.445 1.482 6.078
Pd 4.445 4.445 2.026
Pd 4.445 4.445 6.078
Au 0.000 0.000 4.052
Au 2.963 2.963 0.000
```

symmetry	I4/mmm, No. 139
formation energy	-0.897	eV per atom
spin magnetization	0.0	μB per formula unit



VASP calculation (PBE) on a relaxed structure of Tb4PdAu3. Values from VASP.

```
&SYSTEM
  ibrav = 0, nat = 8, ntyp = 3
/
ATOMIC_SPECIES
Tb 158.93 Tb.upf
Pd 106.42 Pd.upf
Au 196.97 Au.upf
CELL_PARAMETERS angstrom
3.769 0.000 0.000
0.000 4.683 0.000
0.000 0.000 10.842
ATOMIC_POSITIONS angstrom
Tb 0.000 0.000 0.000
Tb 0.000 2.342 2.923
Tb 1.885 0.000 5.296
Tb 1.885 2.342 8.375
Pd 1.885 0.000 2.382
Au 0.000 0.000 7.827
Au 0.000 2.342 5.902
Au 1.885 2.342 0.522
```

symmetry	Pmm2, No. 25
formation energy	-0.894	eV per atom
spin magnetization	0.0	μB per formula unit



VASP calculation (PBE) on a relaxed structure of TbPd6Au5. Values from VASP.

```
&SYSTEM
  ibrav = 0, nat = 12, ntyp = 3
/
ATOMIC_SPECIES
Tb 158.93 Tb.upf
Pd 106.42 Pd.upf
Au 196.97 Au.upf
CELL_PARAMETERS angstrom
2.115 -6.253 0.000
2.115 6.253 0.000
-0.015 0.000 7.782
ATOMIC_POSITIONS angstrom
Tb 0.000 0.000 0.000
Pd 2.110 4.149 1.972
Pd 2.104 4.149 5.810
Pd 2.113 0.000 1.954
Pd 2.101 0.000 5.829
Pd 2.110 -4.149 1.972
Pd 2.104 -4.149 5.810
Au -0.008 0.000 3.891
Au 2.115 2.119 0.000
Au 2.107 2.051 3.891
Au 2.107 -2.051 3.891
Au 2.115 -2.119 0.000
```

symmetry	C2/m, No. 12
formation energy	-0.374	eV per atom
spin magnetization	0.0	μB per formula unit